1.
DFT (PBE-GGA) results for Ta2PRu after structural relaxation.

a b c (Å): 4.4619 4.4619 4.4619
angles (deg): 60.00 60.00 60.00
Fractional positions:
1 Ta 0.2500 0.2500 0.2500
2 Ta 0.7500 0.7500 0.7500
3 P 0.0000 0.0000 0.0000
4 Ru 0.5000 0.5000 0.5000

Summary:
Volume: 15.70 A^3/atom
ρ: 13058 kg/m³
Electronic total energy: -9.67 eV/atom
Total magnetization: 0.0 μB/cell

***

2.
DFT (PBE-GGA) results for TaTcPRu2 after structural relaxation.

a b c (Å): 4.6803 4.6803 4.6761
angles (deg): 90.00 90.00 90.00
Fractional positions:
1 Ta 0.0000 0.0000 0.0000
2 Tc 0.5000 0.5000 0.5000
3 P 0.0000 0.0000 0.5000
4 Ru 0.0000 0.5000 0.0000
5 Ru 0.5000 0.0000 0.0000

Summary:
Volume: 20.49 A^3/atom
ρ: 8301 kg/m³
Electronic total energy: -7.61 eV/atom
Total magnetization: 2.4 μB/cell

***

3.
DFT (PBE-GGA) results for ThTaP2Ru after structural relaxation.

a b c (Å): 6.7475 6.7475 6.7475
angles (deg): 146.85 146.85 47.58
Fractional positions:
1 Th 0.0000 0.0000 0.0000
2 Ta 0.7500 0.2500 0.5000
3 P 0.3805 0.3805 0.0000
4 P 0.6195 0.6195 0.0000
5 Ru 0.2500 0.7500 0.5000

Summary:
Volume: 18.30 A^3/atom
ρ: 10455 kg/m³
Electronic total energy: -8.69 eV/atom
Total magnetization: 0.0 μB/cell

***

4.
DFT (PBE-GGA) results for ThTaP2Ru5 after structural relaxation.

a b c (Å): 4.1863 4.1863 9.4075
angles (deg): 90.00 90.00 90.00
Fractional positions:
1 Th 0.0000 0.0000 0.0000
2 Ta 0.0000 0.0000 0.5000
3 P 0.5000 0.5000 0.2413
4 P 0.5000 0.5000 0.7587
5 Ru 0.0000 0.5000 0.3356
6 Ru 0.0000 0.5000 0.6644
7 Ru 0.5000 0.0000 0.3356
8 Ru 0.5000 0.0000 0.6644
9 Ru 0.5000 0.5000 0.0000

Summary:
Volume: 18.32 A^3/atom
ρ: 9873 kg/m³
Electronic total energy: -8.84 eV/atom
Total magnetization: 0.0 μB/cell

***

5.
DFT (PBE-GGA) results for TbP4Ru6 after structural relaxation.

a b c (Å): 6.9444 6.9444 3.7454
angles (deg): 90.00 90.00 120.00
Fractional positions:
1 Tb 0.0000 0.0000 0.0000
2 P 0.3333 0.6667 0.0000
3 P 0.3801 0.1900 0.5000
4 P 0.8100 0.1900 0.5000
5 P 0.8100 0.6199 0.5000
6 Ru 0.1991 0.3982 0.5000
7 Ru 0.1991 0.8009 0.5000
8 Ru 0.5349 0.0697 0.0000
9 Ru 0.5349 0.4651 0.0000
10 Ru 0.6018 0.8009 0.5000
11 Ru 0.9303 0.4651 0.0000

Summary:
Volume: 14.22 A^3/atom
ρ: 9440 kg/m³
Electronic total energy: -8.20 eV/atom
Total magnetization: 0.0 μB/cell

***

6.
DFT (PBE-GGA) results for TbPRu after structural relaxation.

a b c (Å): 4.0276 4.0276 6.7673
angles (deg): 90.00 90.00 90.00
Fractional positions:
1 Tb 0.2500 0.2500 0.1703
2 Tb 0.7500 0.7500 0.8297
3 P 0.2500 0.2500 0.6970
4 P 0.7500 0.7500 0.3030
5 Ru 0.2500 0.7500 0.5000
6 Ru 0.7500 0.2500 0.5000

Summary:
Volume: 18.30 A^3/atom
ρ: 8803 kg/m³
Electronic total energy: -7.44 eV/atom
Total magnetization: 0.0 μB/cell